Entry 1:
Below is crystalline ZrMoOs at its relaxed geometry, with properties calculated at the PBE level.

Lattice parameters (Å, degrees): 7.117 6.918 2.848 82.24 74.40 23.36
Element x y z (fractional)
Zr 0.000 0.000 0.000
Mo 0.323 0.323 0.677
Os 0.669 0.669 0.331

- ρ: 12.237 g/cm³
- Energy above the lowest structure with this stoichiometry: 182 meV per atom
- Formation energy: 12.46 kJ per mole of atoms

---

Entry 2:
Below is crystalline TaTlW at its relaxed geometry, with properties calculated at the PBE level.

Lattice parameters (Å, degrees): 7.221 7.221 7.221 157.02 157.02 32.72
Element x y z (fractional)
Ta 0.000 0.000 0.000
Tl 0.674 0.674 0.000
W 0.343 0.343 0.000

- ρ: 16.485 g/cm³
- Energy above the lowest structure with this stoichiometry: 379 meV per atom
- Formation energy: 72.01 kJ per mole of atoms

---

Repeat the second record exactly.
Below is crystalline TaTlW at its relaxed geometry, with properties calculated at the PBE level.

Lattice parameters (Å, degrees): 7.221 7.221 7.221 157.02 157.02 32.72
Element x y z (fractional)
Ta 0.000 0.000 0.000
Tl 0.674 0.674 0.000
W 0.343 0.343 0.000

- ρ: 16.485 g/cm³
- Energy above the lowest structure with this stoichiometry: 379 meV per atom
- Formation energy: 72.01 kJ per mole of atoms

---

Among the records above, which one has the lowest energy above the lowest structure with this stoichiometry?
ZrMoOs

---

energy above the lowest structure with this stoichiometry of number 2 (TaTlW)?
379 meV per atom